Pb5Cl12F3: relaxed, PBE-GGA.

Unit cell a=17.579 b=17.579 c=17.579 alpha=90.00 beta=90.00 gamma=90.00
Space group Ia-3d (No. 230)
Symmetry-distinct sites (fractional):
Pb 0.000 0.000 0.000 (multiplicity 16)
Pb 0.000 0.250 0.375 (multiplicity 24)
Cl 0.041 0.063 0.645 (multiplicity 96)
F 0.000 0.250 0.125 (multiplicity 24)

Pb6ClF8: relaxed, PBE-GGA.

Unit cell a=7.1079 b=7.1079 c=21.4419 alpha=90.00 beta=90.00 gamma=120.00
Space group R-3 (No. 148, hexagonal axes)
Symmetry-distinct sites (fractional):
Pb 0.0245 0.3039 0.2465 (multiplicity 18)
Cl 0.0000 0.0000 0.0000 (multiplicity 3)
F 0.0000 0.0000 0.3653 (multiplicity 6)
F 0.0211 0.3069 0.1311 (multiplicity 18)

Short version: energy relative to the elements, uncorrected = -0.669 -1.790 eV/atom, in the order given.